No. 1
NaSi2Pt2 | PBE-GGA | optimized geometry

```
data_NaSi2Pt2
_chemical_formula_sum 'Na1 Si2 Pt2'
_cell_length_a 5.803
_cell_length_b 5.803
_cell_length_c 5.803
_cell_angle_alpha 138.29
_cell_angle_beta 138.29
_cell_angle_gamma 60.46
_symmetry_space_group_name_H-M 'P 1'
_symmetry_Int_Tables_number 1
loop_
_symmetry_equiv_pos_as_xyz
'x,y,z'
loop_
_atom_site_label
_atom_site_type_symbol
_atom_site_fract_x
_atom_site_fract_y
_atom_site_fract_z
_atom_site_occupancy
Na1 Na 0.000 0.000 0.000 1
Pt1 Pt 0.750 0.250 0.500 1
Pt2 Pt 0.250 0.750 0.500 1
Si1 Si 0.381 0.381 0.000 1
Si2 Si 0.619 0.619 0.000 1
```

Summary:
- energy above the lowest structure with this stoichiometry (meV/atom) = 0.0
- symmetry = No. 139


No. 2
Tb2MgCd | PBE-GGA | optimized geometry

```
data_Tb2MgCd
_chemical_formula_sum 'Tb2 Mg1 Cd1'
_cell_length_a 5.274
_cell_length_b 5.274
_cell_length_c 3.840
_cell_angle_alpha 90.00
_cell_angle_beta 90.00
_cell_angle_gamma 90.00
_symmetry_space_group_name_H-M 'P 1'
_symmetry_Int_Tables_number 1
loop_
_symmetry_equiv_pos_as_xyz
'x,y,z'
loop_
_atom_site_label
_atom_site_type_symbol
_atom_site_fract_x
_atom_site_fract_y
_atom_site_fract_z
_atom_site_occupancy
Cd1 Cd 0.000 0.000 0.500 1
Mg1 Mg 0.500 0.500 0.500 1
Tb1 Tb 0.500 0.000 0.000 1
Tb2 Tb 0.000 0.500 0.000 1
```

Summary:
- symmetry = No. 123


No. 3
Gd2ErTm3Te2Os | PBE-GGA | optimized geometry

```
data_Gd2ErTm3Te2Os
_chemical_formula_sum 'Gd2 Er1 Tm3 Te2 Os1'
_cell_length_a 4.059
_cell_length_b 8.261
_cell_length_c 8.261
_cell_angle_alpha 120.64
_cell_angle_beta 90.00
_cell_angle_gamma 90.00
_symmetry_space_group_name_H-M 'P 1'
_symmetry_Int_Tables_number 1
loop_
_symmetry_equiv_pos_as_xyz
'x,y,z'
loop_
_atom_site_label
_atom_site_type_symbol
_atom_site_fract_x
_atom_site_fract_y
_atom_site_fract_z
_atom_site_occupancy
Er1 Er 0.000 0.387 0.387 1
Gd1 Gd 0.000 0.607 0.000 1
Gd2 Gd 0.000 0.000 0.607 1
Os1 Os 0.000 0.007 0.007 1
Te1 Te 0.500 0.665 0.333 1
Te2 Te 0.500 0.333 0.665 1
Tm1 Tm 0.500 0.000 0.236 1
Tm2 Tm 0.500 0.765 0.765 1
Tm3 Tm 0.500 0.236 0.000 1
```

Summary:
- symmetry = No. 38


No. 4
PaTaOs | PBE-GGA | optimized geometry

```
data_PaTaOs
_chemical_formula_sum 'Pa1 Ta1 Os1'
_cell_length_a 4.494
_cell_length_b 4.494
_cell_length_c 4.494
_cell_angle_alpha 60.00
_cell_angle_beta 60.00
_cell_angle_gamma 60.00
_symmetry_space_group_name_H-M 'P 1'
_symmetry_Int_Tables_number 1
loop_
_symmetry_equiv_pos_as_xyz
'x,y,z'
loop_
_atom_site_label
_atom_site_type_symbol
_atom_site_fract_x
_atom_site_fract_y
_atom_site_fract_z
_atom_site_occupancy
Os1 Os 0.500 0.500 0.500 1
Pa1 Pa 0.250 0.250 0.250 1
Ta1 Ta 0.000 0.000 0.000 1
```

Summary:
- energy above the lowest structure with this stoichiometry (meV/atom) = 559.4
- symmetry = No. 216
- formation enthalpy at 0 K (meV per atom) = 799.7


No. 5
Li2ZnGa | PBE-GGA | optimized geometry

```
data_Li2ZnGa
_chemical_formula_sum 'Li4 Zn2 Ga2'
_cell_length_a 4.318
_cell_length_b 4.343
_cell_length_c 6.148
_cell_angle_alpha 90.00
_cell_angle_beta 90.00
_cell_angle_gamma 90.00
_symmetry_space_group_name_H-M 'P 1'
_symmetry_Int_Tables_number 1
loop_
_symmetry_equiv_pos_as_xyz
'x,y,z'
loop_
_atom_site_label
_atom_site_type_symbol
_atom_site_fract_x
_atom_site_fract_y
_atom_site_fract_z
_atom_site_occupancy
Ga1 Ga 0.250 0.000 0.371 1
Ga2 Ga 0.750 0.000 0.629 1
Li1 Li 0.750 0.000 0.123 1
Li2 Li 0.750 0.500 0.374 1
Li3 Li 0.250 0.500 0.626 1
Li4 Li 0.250 0.000 0.877 1
Zn1 Zn 0.250 0.500 0.123 1
Zn2 Zn 0.750 0.500 0.877 1
```

Summary:
- symmetry = No. 51


No. 6
ZnNiGeTe3 | PBE-GGA | optimized geometry

```
data_ZnNiGeTe3
_chemical_formula_sum 'Zn2 Ni2 Ge2 Te6'
_cell_length_a 7.971
_cell_length_b 7.971
_cell_length_c 9.515
_cell_angle_alpha 90.00
_cell_angle_beta 90.00
_cell_angle_gamma 27.73
_symmetry_space_group_name_H-M 'P 1'
_symmetry_Int_Tables_number 1
loop_
_symmetry_equiv_pos_as_xyz
'x,y,z'
loop_
_atom_site_label
_atom_site_type_symbol
_atom_site_fract_x
_atom_site_fract_y
_atom_site_fract_z
_atom_site_occupancy
Ge1 Ge 0.764 0.764 0.250 1
Ge2 Ge 0.236 0.236 0.750 1
Ni1 Ni 0.470 0.470 0.250 1
Ni2 Ni 0.530 0.530 0.750 1
Te1 Te 0.351 0.351 0.065 1
Te2 Te 0.080 0.080 0.250 1
Te3 Te 0.351 0.351 0.435 1
Te4 Te 0.649 0.649 0.565 1
Te5 Te 0.920 0.920 0.750 1
Te6 Te 0.649 0.649 0.935 1
Zn1 Zn 0.000 0.000 0.000 1
Zn2 Zn 0.000 0.000 0.500 1
```

Summary:
- energy above the lowest structure with this stoichiometry (meV/atom) = 0.0
- symmetry = No. 63


No. 7
LaTbNb | PBE-GGA | optimized geometry

```
data_LaTbNb
_chemical_formula_sum 'La1 Tb1 Nb1'
_cell_length_a 5.091
_cell_length_b 5.091
_cell_length_c 5.091
_cell_angle_alpha 60.00
_cell_angle_beta 60.00
_cell_angle_gamma 60.00
_symmetry_space_group_name_H-M 'P 1'
_symmetry_Int_Tables_number 1
loop_
_symmetry_equiv_pos_as_xyz
'x,y,z'
loop_
_atom_site_label
_atom_site_type_symbol
_atom_site_fract_x
_atom_site_fract_y
_atom_site_fract_z
_atom_site_occupancy
La1 La 0.250 0.250 0.250 1
Nb1 Nb 0.000 0.000 0.000 1
Tb1 Tb 0.750 0.750 0.750 1
```

Summary:
- symmetry = No. 216
- formation enthalpy at 0 K (meV per atom) = 756.4


No. 8
Sc4ZnGeN2 | PBE-GGA | optimized geometry

```
data_Sc4ZnGeN2
_chemical_formula_sum 'Sc4 Zn1 Ge1 N2'
_cell_length_a 3.216
_cell_length_b 3.216
_cell_length_c 13.928
_cell_angle_alpha 90.00
_cell_angle_beta 90.00
_cell_angle_gamma 120.00
_symmetry_space_group_name_H-M 'P 1'
_symmetry_Int_Tables_number 1
loop_
_symmetry_equiv_pos_as_xyz
'x,y,z'
loop_
_atom_site_label
_atom_site_type_symbol
_atom_site_fract_x
_atom_site_fract_y
_atom_site_fract_z
_atom_site_occupancy
Ge1 Ge 0.667 0.333 0.000 1
N1 N 0.333 0.667 0.245 1
N2 N 0.333 0.667 0.755 1
Sc1 Sc 0.000 0.000 0.158 1
Sc2 Sc 0.667 0.333 0.335 1
Sc3 Sc 0.667 0.333 0.665 1
Sc4 Sc 0.000 0.000 0.842 1
Zn1 Zn 0.000 0.000 0.500 1
```

Summary:
- symmetry = No. 187


No. 9
Zr3SN2 | PBE-GGA | optimized geometry

```
data_Zr3SN2
_chemical_formula_sum 'Zr6 S2 N4'
_cell_length_a 3.296
_cell_length_b 3.296
_cell_length_c 17.766
_cell_angle_alpha 90.00
_cell_angle_beta 90.00
_cell_angle_gamma 120.00
_symmetry_space_group_name_H-M 'P 1'
_symmetry_Int_Tables_number 1
loop_
_symmetry_equiv_pos_as_xyz
'x,y,z'
loop_
_atom_site_label
_atom_site_type_symbol
_atom_site_fract_x
_atom_site_fract_y
_atom_site_fract_z
_atom_site_occupancy
N1 N 0.333 0.667 0.073 1
N2 N 0.333 0.667 0.427 1
N3 N 0.667 0.333 0.573 1
N4 N 0.667 0.333 0.927 1
S1 S 0.000 0.000 0.250 1
S2 S 0.000 0.000 0.750 1
Zr1 Zr 0.000 0.000 0.000 1
Zr2 Zr 0.667 0.333 0.148 1
Zr3 Zr 0.667 0.333 0.352 1
Zr4 Zr 0.000 0.000 0.500 1
Zr5 Zr 0.333 0.667 0.648 1
Zr6 Zr 0.333 0.667 0.852 1
```

Summary:
- symmetry = No. 194


No. 10
Y2BeCd | PBE-GGA | optimized geometry

```
data_Y2BeCd
_chemical_formula_sum 'Y2 Be1 Cd1'
_cell_length_a 5.056
_cell_length_b 5.056
_cell_length_c 5.056
_cell_angle_alpha 60.00
_cell_angle_beta 60.00
_cell_angle_gamma 60.00
_symmetry_space_group_name_H-M 'P 1'
_symmetry_Int_Tables_number 1
loop_
_symmetry_equiv_pos_as_xyz
'x,y,z'
loop_
_atom_site_label
_atom_site_type_symbol
_atom_site_fract_x
_atom_site_fract_y
_atom_site_fract_z
_atom_site_occupancy
Be1 Be 0.500 0.500 0.500 1
Cd1 Cd 0.250 0.250 0.250 1
Y1 Y 0.000 0.000 0.000 1
Y2 Y 0.750 0.750 0.750 1
```

Summary:
- symmetry = No. 216


No. 11
Al2MoC | PBE-GGA | optimized geometry

```
data_Al2MoC
_chemical_formula_sum 'Al4 Mo2 C2'
_cell_length_a 2.940
_cell_length_b 2.940
_cell_length_c 13.820
_cell_angle_alpha 90.00
_cell_angle_beta 90.00
_cell_angle_gamma 120.00
_symmetry_space_group_name_H-M 'P 1'
_symmetry_Int_Tables_number 1
loop_
_symmetry_equiv_pos_as_xyz
'x,y,z'
loop_
_atom_site_label
_atom_site_type_symbol
_atom_site_fract_x
_atom_site_fract_y
_atom_site_fract_z
_atom_site_occupancy
Al1 Al 0.333 0.667 0.082 1
Al2 Al 0.333 0.667 0.418 1
Al3 Al 0.667 0.333 0.582 1
Al4 Al 0.667 0.333 0.918 1
C1 C 0.000 0.000 0.000 1
C2 C 0.000 0.000 0.500 1
Mo1 Mo 0.667 0.333 0.250 1
Mo2 Mo 0.333 0.667 0.750 1
```

Summary:
- symmetry = No. 194


Asked for total energy across the records above, the calculation gives -0.401; -0.230; -0.421; -0.739; -0.171; -0.254; -0.426; -0.526; -0.688; -0.296; -0.489 Ry per atom in order.